Entry 1:
DFT (PBE-GGA) results for a geometry-optimized Dy3AlSe2 structure.

Values from the calculation:
Raw total energy   -32.23 eV per cell
Energy relative to the elements, uncorrected   -1.28 eV/atom

a b c (Å): 3.9838 5.8587 7.3428
angles (deg): 113.51 105.74 90.00
With the nearest neighbours (Å) after each atom.
Fractional positions:
Dy: 0.3295 0.3295 0.6591  4 Se 2.89-2.93, 2 Al 2.96
Dy: 0.0000 0.0000 0.0000  4 Se 2.93, 2 Al 2.93
Dy: 0.6705 0.6705 0.3409  4 Se 2.89-2.93, 2 Al 2.96
Al: 0.0000 0.5000 0.0000  6 Dy 2.93-2.96
Se: 0.6668 0.1668 0.3336  6 Dy 2.89-2.93
Se: 0.3332 0.8332 0.6664  6 Dy 2.89-2.93

Entry 2:
DFT (PBE-GGA) results for a geometry-optimized ErIn5Pd6 structure.

Values from the calculation:
Raw total energy   -56.72 eV per cell
Calculated formation energy   -609 meV/atom

a b c (Å): 4.6924 6.7691 7.3539
angles (deg): 90.00 109.09 90.00
With the nearest neighbours (Å) after each atom.
Fractional positions:
In: 0.6643 0.5000 0.3266  8 Pd 2.81-2.87
In: 0.3323 0.0000 0.6673  8 Pd 2.86-2.92
In: 0.0000 0.5000 0.0000  8 Pd 2.87-2.88
In: 0.6677 0.0000 0.3327  8 Pd 2.86-2.92
In: 0.3357 0.5000 0.6734  8 Pd 2.81-2.87
Pd: 0.8280 0.7441 0.6602  7 In 2.85-2.92, 1 Er 2.93
Pd: 0.8280 0.2559 0.6602  7 In 2.85-2.92, 1 Er 2.93
Pd: 0.5000 0.2549 0.0000  6 In 2.81-2.88, 2 Er 2.91
Pd: 0.5000 0.7451 0.0000  6 In 2.81-2.88, 2 Er 2.91
Pd: 0.1720 0.7441 0.3398  7 In 2.85-2.92, 1 Er 2.93
Pd: 0.1720 0.2559 0.3398  7 In 2.85-2.92, 1 Er 2.93
Er: 0.0000 0.0000 0.0000  8 Pd 2.91-2.93

Entry 3:
DFT (PBE-GGA) results for a geometry-optimized AcTbZnRu structure.

Values from the calculation:
Raw total energy   -19.93 eV per cell
Calculated formation energy   -161 meV/atom

a b c (Å): 5.1525 5.1525 5.1525
angles (deg): 60.00 60.00 60.00
With the nearest neighbours (Å) after each atom.
Fractional positions:
Ru: 0.7500 0.7500 0.7500  4 Tb 3.16, 4 Ac 3.16
Ac: 0.5000 0.5000 0.5000  4 Zn 3.16, 4 Ru 3.16
Tb: 0.0000 0.0000 0.0000  4 Ru 3.16, 4 Zn 3.16
Zn: 0.2500 0.2500 0.2500  4 Ac 3.16, 4 Tb 3.16

Entry 4:
DFT (PBE-GGA) results for a geometry-optimized Dy12Er6Tm structure.

Values from the calculation:
Raw total energy   -84.10 eV per cell
Calculated formation energy   157 meV/atom

a b c (Å): 8.4519 8.4519 8.4519
angles (deg): 88.36 88.36 88.36
With the nearest neighbours (Å) after each atom.
Fractional positions:
Dy: 0.7759 0.5421 0.4347  3 Er 3.24-3.42, 6 Dy 3.26-3.56
Dy: 0.4347 0.7759 0.5421  3 Er 3.24-3.42, 6 Dy 3.26-3.56
Dy: 0.5421 0.4347 0.7759  3 Er 3.24-3.42, 6 Dy 3.26-3.56
Dy: 0.2241 0.4579 0.5653  3 Er 3.24-3.42, 6 Dy 3.26-3.56
Dy: 0.5653 0.2241 0.4579  3 Er 3.24-3.42, 6 Dy 3.26-3.56
Dy: 0.4579 0.5653 0.2241  3 Er 3.24-3.42, 6 Dy 3.26-3.56
Dy: 0.0117 0.2029 0.3577  4 Dy 3.40-3.54, 4 Er 3.48-3.65, 1 Tm 3.52
Dy: 0.7971 0.6423 0.9883  4 Dy 3.40-3.54, 4 Er 3.48-3.65, 1 Tm 3.52
Dy: 0.6423 0.9883 0.7971  4 Dy 3.40-3.54, 4 Er 3.48-3.65, 1 Tm 3.52
Dy: 0.9883 0.7971 0.6423  4 Dy 3.40-3.54, 4 Er 3.48-3.65, 1 Tm 3.52
Dy: 0.2029 0.3577 0.0117  4 Dy 3.40-3.54, 4 Er 3.48-3.65, 1 Tm 3.52
Dy: 0.3577 0.0117 0.2029  4 Dy 3.40-3.54, 4 Er 3.48-3.65, 1 Tm 3.52
Er: 0.7423 0.9061 0.3064  6 Dy 3.24-3.55, 1 Tm 3.43, 2 Er 3.45
Er: 0.6936 0.2577 0.0939  6 Dy 3.24-3.55, 1 Tm 3.43, 2 Er 3.45
Er: 0.0939 0.6936 0.2577  6 Dy 3.24-3.55, 1 Tm 3.43, 2 Er 3.45
Er: 0.2577 0.0939 0.6936  6 Dy 3.24-3.55, 1 Tm 3.43, 2 Er 3.45
Er: 0.3064 0.7423 0.9061  6 Dy 3.24-3.55, 1 Tm 3.43, 2 Er 3.45
Er: 0.9061 0.3064 0.7423  6 Dy 3.24-3.55, 1 Tm 3.43, 2 Er 3.45
Tm: 0.0000 0.0000 0.0000  6 Er 3.43, 6 Dy 3.52

Entry 5:
DFT (PBE-GGA) results for a geometry-optimized SrScN2F structure.

Values from the calculation:
Raw total energy   -33.40 eV per cell
Energy relative to the elements, uncorrected   -1.37 eV/atom

a b c (Å): 4.1649 4.1649 4.2660
angles (deg): 90.00 90.00 90.00
With the nearest neighbours (Å) after each atom.
Fractional positions:
Sc: 0.0000 0.0000 0.0000  4 N 2.08, 2 F 2.13
Sr: 0.5000 0.5000 0.5000  4 F 2.95, 8 N 2.98
N: 0.0000 0.5000 0.0000  2 Sc 2.08
N: 0.5000 0.0000 0.0000  2 Sc 2.08
F: 0.0000 0.0000 0.5000  2 Sc 2.13

Entry 6:
DFT (PBE-GGA) results for a geometry-optimized LaNi2As structure.

Values from the calculation:
Raw total energy   -22.30 eV per cell
Calculated formation energy   -290 meV/atom

a b c (Å): 3.2890 3.2878 6.5157
angles (deg): 90.00 90.00 90.00
With the nearest neighbours (Å) after each atom.
Fractional positions:
As: 0.0000 0.0000 0.4080  5 Ni 2.31-2.51
La: 0.5000 0.5000 0.7765  5 Ni 2.94-3.17, 4 La 3.29
Ni: 0.0000 0.0000 0.0533  1 As 2.31
Ni: 0.5000 0.5000 0.2622  4 As 2.51, 4 Ni 2.69

Entry 7:
DFT (PBE-GGA) results for a geometry-optimized TiSeSN2 structure.

Values from the calculation:
Raw total energy   -29.38 eV per cell
Energy relative to the elements, uncorrected   0.56 eV/atom

a b c (Å): 3.7715 3.7715 6.0815
angles (deg): 90.00 90.00 90.00
With the nearest neighbours (Å) after each atom.
Fractional positions:
S: 0.5000 0.5000 0.5000  4 Se 2.67
N: 0.0000 0.5000 0.0000  2 Ti 1.89
N: 0.5000 0.0000 0.0000  2 Ti 1.89
Se: 0.0000 0.0000 0.5000  4 S 2.67
Ti: 0.0000 0.0000 0.0000  4 N 1.89

Entry 8:
DFT (PBE-GGA) results for a geometry-optimized ZrRh3Br structure.

Values from the calculation:
Raw total energy   -27.13 eV per cell
Energy relative to the elements, uncorrected   1.03 eV/atom

a b c (Å): 4.8809 4.8809 4.8809
angles (deg): 90.00 90.00 90.00
With the nearest neighbours (Å) after each atom.
Fractional positions:
Rh: 0.0000 0.5000 0.0000  2 Zr 2.44
Rh: 0.0000 0.0000 0.5000  2 Zr 2.44
Rh: 0.5000 0.0000 0.0000  2 Zr 2.44
Br: 0.5000 0.5000 0.5000  12 Rh 3.45
Zr: 0.0000 0.0000 0.0000  6 Rh 2.44